A plane-wave DFT calculation with PBE-GGA was carried out for crystalline NaTm6S8 at its relaxed geometry.

```
NaTm6S8
1.0
6.647 0.000 3.838
2.216 6.267 3.838
0.000 0.000 7.675
Na Tm S
1 6 8
Direct
0.000 0.000 0.000 Na
0.000 0.500 0.500 Tm
0.500 0.000 0.000 Tm
0.500 0.500 0.000 Tm
0.000 0.000 0.500 Tm
0.000 0.500 0.000 Tm
0.500 0.000 0.500 Tm
0.750 0.750 0.750 S
0.250 0.250 0.250 S
0.746 0.254 0.254 S
0.254 0.746 0.746 S
0.254 0.254 0.746 S
0.746 0.746 0.254 S
0.746 0.254 0.746 S
0.254 0.746 0.254 S
```

Output
- Polymorph energy (0 for the lowest one): 0 meV/atom
- DOS at the Fermi energy: 4.40 states/eV/cell
- Symmetry: No. 225
- ΔE_f (raw): -1.950 eV per atom
- Total magnetization: 0.00 Bohr magnetons per cell